Entry 1:
## TaBBr3 (PBE)

Data for a relaxed structure of TaBBr3.

a b c (Å): 5.156 5.156 5.156
angles (deg): 90.00 90.00 90.00
Positions (direct):
Br 0.000 0.000 0.500
Br 0.500 0.000 0.000
Ta 0.000 0.000 0.000
B 0.500 0.500 0.500
Br 0.000 0.500 0.000

## Properties
Total magnetic moment, μB/atom: 0.30
SG: Pm-3m (221)
Formation energy from raw total energies, eV per atom: 0.88
Total DFT energy (no corrections), eV per atom: -3.8280

Entry 2:
## TbPmBeRh (PBE)

Data for a relaxed structure of TbPmBeRh.

a b c (Å): 4.930 4.930 4.930
angles (deg): 60.00 60.00 60.00
Positions (direct):
Pm 0.750 0.750 0.750
Be 0.500 0.500 0.500
Tb 0.250 0.250 0.250
Rh 0.000 0.000 0.000

## Properties
Total magnetic moment, μB/atom: 0.00
SG: F-43m (216)
Energy relative to the elements, eV/atom: -0.2912
Total DFT energy (no corrections), eV per atom: -5.4058

Entry 3:
## SmGdSc2 (PBE)

Data for a relaxed structure of SmGdSc2.

a b c (Å): 4.633 4.952 4.952
angles (deg): 90.00 90.00 90.00
Positions (direct):
Sm 0.500 0.500 0.500
Sc 0.000 0.000 0.500
Gd 0.500 0.000 0.000
Sc 0.000 0.500 0.000

## Properties
Total magnetic moment, μB/atom: 1.81
SG: P4/mmm (123)
Energy relative to the elements, eV/atom: 0.0503
Total DFT energy (no corrections), eV per atom: -7.8155

Entry 4:
## Si3TeSe (PBE)

Data for a relaxed structure of Si3TeSe.

a b c (Å): 5.002 5.002 5.002
angles (deg): 90.00 90.00 90.00
Positions (direct):
Se 0.000 0.000 0.000
Si 0.000 0.000 0.500
Te 0.500 0.500 0.500
Si 0.000 0.500 0.000
Si 0.500 0.000 0.000

## Properties
Total magnetic moment, μB/atom: 0.00
SG: Pm-3m (221)
Formation energy from raw total energies, eV per atom: 0.97
Total DFT energy (no corrections), eV per atom: -3.6119

Entry 5:
## Tb3Ga5Cu6 (PBE)

Data for a relaxed structure of Tb3Ga5Cu6.

a b c (Å): 4.307 7.972 7.972
angles (deg): 66.38 74.33 74.33
Positions (direct):
Cu 0.868 0.851 0.413
Tb 0.699 0.301 0.301
Cu 0.132 0.587 0.149
Ga 0.662 0.693 0.984
Ga 0.338 0.307 0.016
Ga 0.000 0.500 0.500
Cu 0.868 0.413 0.851
Cu 0.132 0.149 0.587
Tb 0.301 0.699 0.699
Cu 0.500 0.688 0.312
Ga 0.338 0.016 0.307
Tb 0.000 0.000 0.000
Cu 0.500 0.312 0.688
Ga 0.662 0.984 0.693

## Properties
Total magnetic moment, μB/atom: 0.00
SG: Immm (71)
Energy relative to the elements, eV/atom: -0.4347
Total DFT energy (no corrections), eV per atom: -4.2634

Entry 6:
## MnCoAs2 (PBE)

Data for a relaxed structure of MnCoAs2.

a b c (Å): 4.348 4.348 4.423
angles (deg): 78.13 78.13 41.73
Positions (direct):
Co 0.485 0.485 0.544
As 0.753 0.753 0.697
As 0.990 0.990 0.124
Mn 0.272 0.272 0.135

## Properties
Total magnetic moment, μB/atom: 0.00
SG: Cm (8)
Energy relative to the elements, eV/atom: -0.0092
Total DFT energy (no corrections), eV per atom: -6.4028

Entry 7:
## NdZn3Cd (PBE)

Data for a relaxed structure of NdZn3Cd.

a b c (Å): 6.178 6.061 6.183
angles (deg): 90.00 63.50 90.00
Positions (direct):
Cd 0.603 0.250 0.097
Zn 0.803 0.503 0.696
Nd 0.266 0.250 0.767
Nd 0.734 0.750 0.233
Zn 0.197 0.497 0.304
Zn 0.197 0.003 0.304
Cd 0.397 0.750 0.903
Zn 0.846 0.250 0.350
Zn 0.803 0.997 0.696
Zn 0.154 0.750 0.650

## Properties
Total magnetic moment, μB/atom: 0.00
SG: P2_1/m (11)
Energy relative to the elements, eV/atom: -0.2702
Total DFT energy (no corrections), eV per atom: -2.1712

Entry 8:
## Ho4ErZn2 (PBE)

Data for a relaxed structure of Ho4ErZn2.

a b c (Å): 4.935 4.935 10.108
angles (deg): 75.87 75.87 60.00
Positions (direct):
Er 0.500 0.500 0.500
Zn 0.600 0.600 0.200
Ho 0.702 0.702 0.893
Ho 0.298 0.298 0.107
Ho 0.102 0.102 0.695
Ho 0.898 0.898 0.305
Zn 0.400 0.400 0.800

## Properties
Total magnetic moment, μB/atom: 0.00
SG: R-3m (166)
Energy relative to the elements, eV/atom: 0.1369
Total DFT energy (no corrections), eV per atom: -3.4948

Entry 9:
## NaHgAu2 (PBE)

Data for a relaxed structure of NaHgAu2.

a b c (Å): 4.091 4.091 10.811
angles (deg): 79.09 79.09 90.00
Positions (direct):
Na 0.500 0.500 0.000
Au 0.875 0.876 0.750
Hg 0.000 0.000 0.000
Au 0.124 0.625 0.250
Na 0.250 0.750 0.500
Hg 0.750 0.250 0.500
Au 0.626 0.125 0.250
Au 0.375 0.374 0.750

## Properties
Total magnetic moment, μB/atom: 0.00
SG: I-42d (122)
Energy relative to the elements, eV/atom: -0.0506
Total DFT energy (no corrections), eV per atom: -2.0945

Entry 10:
## PmNdSm3 (PBE)

Data for a relaxed structure of PmNdSm3.

a b c (Å): 5.477 8.156 7.789
angles (deg): 90.00 90.00 90.00
Positions (direct):
Nd 0.750 0.250 0.244
Sm 0.250 0.551 0.248
Sm 0.250 0.949 0.248
Sm 0.750 0.051 0.752
Pm 0.250 0.250 0.544
Sm 0.750 0.449 0.752
Sm 0.250 0.250 0.951
Pm 0.750 0.750 0.456
Nd 0.250 0.750 0.756
Sm 0.750 0.750 0.049

## Properties
Total magnetic moment, μB/atom: 0.00
SG: Pmmn (59)
Energy relative to the elements, eV/atom: 0.1846
Total DFT energy (no corrections), eV per atom: -4.5506

Entry 11:
## Cs8Ag3O (PBE)

Data for a relaxed structure of Cs8Ag3O.

a b c (Å): 8.968 8.968 10.564
angles (deg): 90.00 90.00 108.13
Positions (direct):
Cs 0.703 0.297 0.500
Cs 0.301 0.298 0.300
Cs 0.232 0.768 0.000
Ag 0.000 0.500 0.254
Cs 0.298 0.301 0.700
Cs 0.699 0.702 0.300
Cs 0.768 0.232 0.000
Cs 0.702 0.699 0.700
Ag 0.500 0.000 0.746
Cs 0.297 0.703 0.500
O 0.500 0.500 0.500
Ag 0.500 0.500 0.000

## Properties
Total magnetic moment, μB/atom: 0.06
SG: C222 (21)
Formation energy from raw total energies, eV per atom: -0.20
Total DFT energy (no corrections), eV per atom: -1.8978

Entry 12:
## ErAl2Sn (PBE)

Data for a relaxed structure of ErAl2Sn.

a b c (Å): 4.364 4.408 4.408
angles (deg): 90.00 90.00 90.00
Positions (direct):
Sn 0.500 0.000 0.000
Al 0.000 0.000 0.500
Al 0.000 0.500 0.000
Er 0.500 0.500 0.500

## Properties
Total magnetic moment, μB/atom: 0.00
SG: P4/mmm (123)
Energy relative to the elements, eV/atom: -0.3702
Total DFT energy (no corrections), eV per atom: -4.3829

Entry 13:
## LaMg2P (PBE)

Data for a relaxed structure of LaMg2P.

a b c (Å): 5.777 5.777 8.317
angles (deg): 90.00 90.00 137.93
Positions (direct):
La 0.545 0.455 0.250
Mg 0.849 0.151 0.446
La 0.455 0.545 0.750
Mg 0.151 0.849 0.946
P 0.259 0.741 0.250
Mg 0.849 0.151 0.054
P 0.741 0.259 0.750
Mg 0.151 0.849 0.554

## Properties
Total magnetic moment, μB/atom: 0.00
SG: Cmcm (63)
Energy relative to the elements, eV/atom: -0.5264
Total DFT energy (no corrections), eV per atom: -3.9080

Entry 14:
## LiMnSn2S (PBE)

Data for a relaxed structure of LiMnSn2S.

a b c (Å): 5.249 3.988 5.249
angles (deg): 90.00 90.00 90.00
Positions (direct):
Li 0.000 0.500 0.000
Sn 0.500 0.000 0.000
Mn 0.500 0.500 0.500
Sn 0.000 0.000 0.500
S 0.000 0.000 0.000

## Properties
Total magnetic moment, μB/atom: 0.82
SG: P4/mmm (123)
Formation energy from raw total energies, eV per atom: 0.20
Total DFT energy (no corrections), eV per atom: -4.4403

Entry 15:
## Mn3SnOs (PBE)

Data for a relaxed structure of Mn3SnOs.

a b c (Å): 4.521 4.521 4.521
angles (deg): 90.00 90.00 90.00
Positions (direct):
Mn 0.500 0.000 0.000
Mn 0.000 0.500 0.000
Os 0.500 0.500 0.500
Sn 0.000 0.000 0.000
Mn 0.000 0.000 0.500

## Properties
Total magnetic moment, μB/atom: 0.42
SG: Pm-3m (221)
Energy relative to the elements, eV/atom: 2.5471
Total DFT energy (no corrections), eV per atom: -6.0012

Entry 16:
## PmErTh2 (PBE)

Data for a relaxed structure of PmErTh2.

a b c (Å): 5.674 5.674 5.674
angles (deg): 60.00 60.00 60.00
Positions (direct):
Th 0.750 0.750 0.750
Th 0.250 0.250 0.250
Pm 0.000 0.000 0.000
Er 0.500 0.500 0.500

## Properties
Total magnetic moment, μB/atom: 0.00
SG: Fm-3m (225)
Energy relative to the elements, eV/atom: 0.1719
Total DFT energy (no corrections), eV per atom: -5.8664

Entry 17:
## Pm3Si6IrPd2 (PBE)

Data for a relaxed structure of Pm3Si6IrPd2.

a b c (Å): 5.804 5.804 7.957
angles (deg): 90.00 90.00 120.00
Positions (direct):
Si 0.385 0.192 0.702
Ir 0.000 0.000 0.500
Pm 0.333 0.667 0.632
Pd 0.667 0.333 0.960
Si 0.192 0.808 0.298
Si 0.808 0.615 0.702
Pm 0.667 0.333 0.368
Si 0.615 0.808 0.298
Pd 0.333 0.667 0.040
Si 0.808 0.192 0.702
Pm 0.000 0.000 0.000
Si 0.192 0.385 0.298

## Properties
Total magnetic moment, μB/atom: 0.00
SG: P-3m1 (164)
Formation energy from raw total energies, eV per atom: -0.51
Total DFT energy (no corrections), eV per atom: -6.0094

Entry 18:
## ZnTeP2Cl (PBE)

Data for a relaxed structure of ZnTeP2Cl.

a b c (Å): 5.110 5.110 5.324
angles (deg): 90.00 90.00 90.00
Positions (direct):
P 0.500 0.000 0.000
P 0.000 0.500 0.000
Te 0.000 0.000 0.000
Zn 0.500 0.500 0.500
Cl 0.000 0.000 0.500

## Properties
Total magnetic moment, μB/atom: 0.06
SG: P4/mmm (123)
Formation energy from raw total energies, eV per atom: 0.91
Total DFT energy (no corrections), eV per atom: -2.5083

Entry 19:
## Rb6Na5 (PBE)

Data for a relaxed structure of Rb6Na5.

a b c (Å): 13.374 10.431 7.179
angles (deg): 75.21 66.53 50.13
Positions (direct):
Rb 0.353 0.670 0.812
Na 0.737 0.525 0.500
Rb 0.023 0.330 0.812
Rb 0.810 0.000 0.689
Rb 0.977 0.670 0.188
Rb 0.190 0.000 0.311
Rb 0.647 0.330 0.188
Na 0.263 0.475 0.500
Na 0.387 0.226 0.000
Na 0.500 0.000 0.500
Na 0.613 0.774 0.000

## Properties
Total magnetic moment, μB/atom: 0.00
SG: C2/m (12)
Energy relative to the elements, eV/atom: 0.0490
Total DFT energy (no corrections), eV per atom: -1.0783

Entry 20:
## Er5ZrBi4 (PBE)

Data for a relaxed structure of Er5ZrBi4.

a b c (Å): 4.280 7.553 11.411
angles (deg): 119.91 100.81 90.00
Positions (direct):
Er 0.187 0.290 0.375
Bi 0.060 0.335 0.121
Er 0.813 0.710 0.625
Er 0.500 0.500 0.000
Er 0.198 0.783 0.397
Bi 0.371 0.060 0.741
Bi 0.940 0.665 0.879
Bi 0.629 0.940 0.259
Er 0.802 0.217 0.603
Zr 0.500 0.000 0.000

## Properties
Total magnetic moment, μB/atom: 0.11
SG: C2/m (12)
Energy relative to the elements, eV/atom: -0.4251
Total DFT energy (no corrections), eV per atom: -5.1138